Entry 1:
TlP5 | the Alexandria database | PBE | optimized geometry; calculated density = 4.09 Mg/m³; E_form = -0.02 eV per atom; magnetic moment = 0.00 μB/f.u.; E_tot = -118.2 eV for the cell shown; ΔE to the lowest computed polymorph = 0.00 kcal/mol of atoms
1.0
6.5113 0.0000 0.0000
0.0000 7.2470 0.0000
0.0000 0.0000 12.3758
Tl P
4 20
direct
0.0000 0.0312 0.0000
0.0000 0.9688 0.5000
0.5000 0.2209 0.6586
0.5000 0.7791 0.1586
0.0000 0.3519 0.1686
0.0000 0.3529 0.7001
0.0000 0.3877 0.8730
0.0000 0.6123 0.3730
0.0000 0.6471 0.2001
0.0000 0.6481 0.6686
0.2459 0.4127 0.4173
0.2459 0.5873 0.9173
0.2503 0.2309 0.2675
0.2503 0.7691 0.7675
0.5000 0.1872 0.0204
0.5000 0.3597 0.1671
0.5000 0.3858 0.8874
0.5000 0.6142 0.3874
0.5000 0.6403 0.6671
0.5000 0.8128 0.5204
0.7497 0.2309 0.2675
0.7497 0.7691 0.7675
0.7541 0.4127 0.4173
0.7541 0.5873 0.9173

---

Entry 2:
LaMgV2Sb | the Alexandria database | PBE | optimized geometry; formation energy from raw total energies = 835.3 meV per atom; calculated density = 4.79 Mg/m³; magnetic moment = 7.75 μB/f.u.; E_tot = -24.7 eV for the cell shown
1.0
5.0333 0.0000 0.0000
0.0000 5.0333 0.0000
0.0000 0.0000 5.2961
La Mg V Sb
1 1 2 1
direct
0.0000 0.0000 0.0000
0.5000 0.5000 0.5000
0.0000 0.5000 0.5000
0.5000 0.0000 0.5000
0.5000 0.5000 0.0000